1.
{"formula": "PrTmBr2", "functional": "PBE", "state": "relaxed", "dos_at_fermi_per_ev_cell": 1.51, "raw_formation_energy_kj_per_mol_atoms": -101.7, "final_energy_ev_per_fu": -16.8, "cell": [[1.8697, 1.0794, 10.0774], [-1.8697, 1.0794, 10.0774], [0.0000, -2.1589, 10.0774]], "species": ["Pr", "Tm", "Br", "Br"], "frac_coords": [[0.0000, 0.0000, 0.0000], [0.5000, 0.5000, 0.5000], [0.4068, 0.4068, 0.4068], [0.5932, 0.5932, 0.5932]]}



2.
{"formula": "PrTm2Br", "functional": "PBE", "state": "relaxed", "dos_at_fermi_per_ev_cell": 6.63, "raw_formation_energy_kj_per_mol_atoms": -20.3, "final_energy_ev_per_fu": -16.2, "cell": [[1.7420, 1.0058, 11.4512], [-1.7420, 1.0058, 11.4512], [0.0000, -2.0115, 11.4512]], "species": ["Pr", "Tm", "Tm", "Br"], "frac_coords": [[0.0000, 0.0000, 0.0000], [0.0984, 0.0984, 0.0984], [0.9016, 0.9016, 0.9016], [0.5000, 0.5000, 0.5000]]}